A relaxed structure of YTmAl3Ge2, computed with PBE.

abc: 5.503 5.503 6.735
angles: 99.12 99.12 43.31
Fractional coordinates of all 7 atoms:
Y: 0.000 0.000 0.000
Tm: 0.768 0.768 0.368
Al: 0.082 0.082 0.559
Al: 0.382 0.382 0.682
Al: 0.687 0.687 0.806
Ge: 0.284 0.284 0.045
Ge: 0.484 0.484 0.327

V   138 Å³/cell
Total energy   -5.016 eV per atom
Theoretical density   5.83 g/cm³